# 1
This record from Alexandria via LeMat-Bulk describes BeCuRuO6 after structural relaxation. The functional is PBE-GGA.

Cell: 4.775 4.775 8.522 Å, 90.00 90.00 120.00°
Sites, in units of the cell vectors:
Be1 0.333 0.667 0.250
Be2 0.667 0.333 0.750
Cu1 0.000 0.000 0.000
Cu2 0.000 0.000 0.500
Ru1 0.333 0.667 0.750
Ru2 0.667 0.333 0.250
O1 0.013 0.358 0.131
O2 0.013 0.655 0.369
O3 0.345 0.358 0.369
O4 0.345 0.987 0.131
O5 0.358 0.013 0.631
O6 0.358 0.345 0.869
O7 0.642 0.655 0.131
O8 0.642 0.987 0.369
O9 0.655 0.013 0.869
O10 0.655 0.642 0.631
O11 0.987 0.345 0.631
O12 0.987 0.642 0.869

Raw formation energy   -0.820 eV/atom
Calculated volume   168.29 Å³ per cell
DFT total energy   -6.03 eV per atom
Calculated density   5.32 Mg/m³

---

# 2
This record from Alexandria via LeMat-Bulk describes BeCuSO after structural relaxation. The functional is PBE-GGA.

Cell: 3.444 3.444 8.878 Å, 90.00 90.00 90.00°
Sites, in units of the cell vectors:
Be1 0.250 0.250 0.009
Be2 0.750 0.750 0.991
Cu1 0.250 0.750 0.500
Cu2 0.750 0.250 0.500
S1 0.250 0.250 0.330
S2 0.750 0.750 0.670
O1 0.250 0.750 0.000
O2 0.750 0.250 0.000

Raw formation energy   -1.031 eV/atom
Calculated volume   105.30 Å³ per cell
DFT total energy   -5.26 eV per atom
Calculated density   3.80 Mg/m³

---

# 3
This record from Alexandria via LeMat-Bulk describes Be2CuSeO6 after structural relaxation. The functional is PBE-GGA.

Cell: 6.166 6.166 5.640 Å, 105.42 105.42 80.59°
Sites, in units of the cell vectors:
Be1 0.122 0.263 0.123
Be2 0.263 0.122 0.623
Be3 0.737 0.878 0.377
Be4 0.878 0.737 0.877
Cu1 0.402 0.598 0.750
Cu2 0.598 0.402 0.250
Se1 0.230 0.770 0.250
Se2 0.770 0.230 0.750
O1 0.079 0.220 0.803
O2 0.151 0.700 0.912
O3 0.220 0.079 0.303
O4 0.278 0.470 0.278
O5 0.300 0.849 0.588
O6 0.470 0.278 0.778
O7 0.530 0.722 0.222
O8 0.700 0.151 0.412
O9 0.722 0.530 0.722
O10 0.780 0.921 0.697
O11 0.849 0.300 0.088
O12 0.921 0.780 0.197

Raw formation energy   -1.322 eV/atom
Calculated volume   198.30 Å³ per cell
DFT total energy   -5.80 eV per atom
Calculated density   4.30 Mg/m³

---

# 4
This record from Alexandria via LeMat-Bulk describes Sr3BeCu2O6 after structural relaxation. The functional is PBE-GGA.

Cell: 5.620 5.620 6.291 Å, 90.00 90.00 120.00°
Sites, in units of the cell vectors:
Sr1 0.000 0.000 0.000
Sr2 0.333 0.667 0.644
Sr3 0.667 0.333 0.356
Be1 0.000 0.000 0.500
Cu1 0.333 0.667 0.199
Cu2 0.667 0.333 0.801
O1 0.157 0.313 0.315
O2 0.157 0.843 0.315
O3 0.313 0.157 0.685
O4 0.687 0.843 0.315
O5 0.843 0.157 0.685
O6 0.843 0.687 0.685

Raw formation energy   -1.636 eV/atom
Calculated volume   172.06 Å³ per cell
DFT total energy   -5.53 eV per atom
Calculated density   4.78 Mg/m³

---

# 5
This record from Alexandria via LeMat-Bulk describes Sr3Be2CuO6 after structural relaxation. The functional is PBE-GGA.

Cell: 5.520 5.520 6.383 Å, 90.00 90.00 120.00°
Sites, in units of the cell vectors:
Sr1 0.000 0.000 0.000
Sr2 0.333 0.667 0.670
Sr3 0.667 0.333 0.330
Be1 0.333 0.667 0.260
Be2 0.667 0.333 0.740
Cu1 0.000 0.000 0.500
O1 0.174 0.349 0.287
O2 0.174 0.826 0.287
O3 0.349 0.174 0.713
O4 0.651 0.826 0.287
O5 0.826 0.174 0.713
O6 0.826 0.651 0.713

Raw formation energy   -2.195 eV/atom
Calculated volume   168.46 Å³ per cell
DFT total energy   -6.06 eV per atom
Calculated density   4.34 Mg/m³

---

# 6
This record from Alexandria via LeMat-Bulk describes TaBe2CuO after structural relaxation. The functional is PBE-GGA.

Cell: 4.101 4.101 3.666 Å, 90.00 90.00 90.00°
Sites, in units of the cell vectors:
Ta1 0.000 0.000 0.000
Be1 0.000 0.500 0.500
Be2 0.500 0.000 0.500
Cu1 0.500 0.500 0.500
O1 0.500 0.500 0.000

Raw formation energy   0.700 eV/atom
Calculated volume   61.65 Å³ per cell
DFT total energy   -4.97 eV per atom
Calculated density   7.50 Mg/m³

---

# 7
This record from Alexandria via LeMat-Bulk describes Be2CuOs after structural relaxation. The functional is PBE-GGA.

Cell: 5.956 5.956 5.049 Å, 90.00 90.00 90.00°
Sites, in units of the cell vectors:
Be1 0.234 0.250 0.125
Be2 0.250 0.734 0.375
Be3 0.250 0.766 0.875
Be4 0.266 0.250 0.625
Be5 0.734 0.750 0.625
Be6 0.750 0.234 0.875
Be7 0.750 0.266 0.375
Be8 0.766 0.750 0.125
Cu1 0.000 0.000 0.000
Cu2 0.000 0.500 0.250
Cu3 0.500 0.000 0.750
Cu4 0.500 0.500 0.500
Os1 0.000 0.000 0.500
Os2 0.000 0.500 0.750
Os3 0.500 0.000 0.250
Os4 0.500 0.500 0.000

Calculated volume   179.13 Å³ per cell
E_form   343.1 meV per atom
DFT total energy   -5.35 eV per atom
Calculated density   10.08 Mg/m³

---

# 8
This record from Alexandria via LeMat-Bulk describes BeCu3Os after structural relaxation. The functional is PBE-GGA.

Cell: 4.624 4.624 4.624 Å, 90.00 90.00 90.00°
Sites, in units of the cell vectors:
Be1 0.000 0.000 0.000
Cu1 0.000 0.500 0.500
Cu2 0.500 0.000 0.500
Cu3 0.500 0.500 0.000
Os1 0.500 0.500 0.500

Relative energy among the computed polymorphs   478 kJ/mol of formula units
Calculated volume   98.85 Å³ per cell
E_form   1766.9 meV per atom
DFT total energy   -3.68 eV per atom
Calculated density   6.55 Mg/m³

---

# 9
This record from Alexandria via LeMat-Bulk describes BeCu4Os after structural relaxation. The functional is PBE-GGA.

Cell: 4.697 4.697 4.697 Å, 60.00 60.00 60.00°
Sites, in units of the cell vectors:
Be1 0.000 0.000 0.000
Cu1 0.124 0.625 0.625
Cu2 0.625 0.124 0.625
Cu3 0.625 0.625 0.124
Cu4 0.625 0.625 0.625
Os1 0.250 0.250 0.250

Calculated volume   73.29 Å³ per cell
E_form   422.2 meV per atom
DFT total energy   -4.80 eV per atom
Calculated density   10.27 Mg/m³

---

# 10
This record from Alexandria via LeMat-Bulk describes Be2CuOs after structural relaxation. The functional is PBE-GGA.

Cell: 2.524 4.377 8.900 Å, 90.00 90.00 90.00°
Sites, in units of the cell vectors:
Be1 0.000 0.000 0.244
Be2 0.000 0.000 0.756
Be3 0.500 0.500 0.256
Be4 0.500 0.500 0.744
Cu1 0.000 0.000 0.000
Cu2 0.500 0.500 0.500
Os1 0.000 0.000 0.500
Os2 0.500 0.500 0.000

Calculated volume   98.31 Å³ per cell
E_form   664.2 meV per atom
DFT total energy   -5.03 eV per atom
Calculated density   9.18 Mg/m³

---

# 11
This record from Alexandria via LeMat-Bulk describes Be2CuOs after structural relaxation. The functional is PBE-GGA.

Cell: 2.594 3.755 4.572 Å, 90.00 106.40 90.00°
Sites, in units of the cell vectors:
Be1 0.000 0.000 0.000
Be2 0.145 0.500 0.294
Cu1 0.732 0.000 0.467
Os1 0.413 0.500 0.824

Calculated volume   42.73 Å³ per cell
E_form   -47.1 meV per atom
DFT total energy   -5.74 eV per atom
Calculated density   10.56 Mg/m³

---

# 12
This record from Alexandria via LeMat-Bulk describes Be2CuOs after structural relaxation. The functional is PBE-GGA.

Cell: 5.613 5.613 5.613 Å, 90.00 90.00 90.00°
Sites, in units of the cell vectors:
Be1 0.000 0.000 0.000
Be2 0.000 0.500 0.500
Be3 0.250 0.250 0.250
Be4 0.250 0.750 0.750
Be5 0.500 0.000 0.500
Be6 0.500 0.500 0.000
Be7 0.750 0.250 0.750
Be8 0.750 0.750 0.250
Cu1 0.000 0.000 0.500
Cu2 0.000 0.500 0.000
Cu3 0.500 0.000 0.000
Cu4 0.500 0.500 0.500
Os1 0.250 0.250 0.750
Os2 0.250 0.750 0.250
Os3 0.750 0.250 0.250
Os4 0.750 0.750 0.750

Calculated volume   176.82 Å³ per cell
E_form   218.4 meV per atom
DFT total energy   -5.48 eV per atom
Calculated density   10.21 Mg/m³